Record 1
A plane-wave DFT calculation with PBE was carried out for Tb3Pm2Er9 after structural relaxation.

Geometry as POSCAR:
```
Tb3Pm2Er9
1.0
3.168 0.570 1.400
2.248 17.321 8.366
1.304 6.169 11.386
Tb Pm Er
3 2 9
direct
0.000 0.000 0.000 Tb
0.910 0.354 0.227 Tb
0.090 0.646 0.773 Tb
0.813 0.279 0.600 Pm
0.187 0.721 0.400 Pm
0.000 0.500 0.500 Er
0.823 0.058 0.672 Er
0.177 0.942 0.328 Er
0.236 0.790 0.033 Er
0.764 0.210 0.967 Er
0.769 0.137 0.322 Er
0.231 0.863 0.678 Er
0.943 0.428 0.864 Er
0.057 0.572 0.136 Er
```

## Properties
- Space-group type: P-1
- ΔH_f (0 K): 0.74 eV per formula unit

Record 2
A plane-wave DFT calculation with PBE was carried out for La2TbNdSe4 after structural relaxation.

Geometry as POSCAR:
```
La2TbNdSe4
1.0
-1.802 1.987 3.232
-0.424 -6.360 3.674
6.421 3.264 1.572
La Tb Nd Se
2 1 1 4
direct
0.500 0.000 0.500 La
0.000 0.500 0.500 La
0.000 0.000 0.000 Tb
0.500 0.500 0.000 Nd
0.500 0.240 0.237 Se
0.500 0.760 0.763 Se
0.000 0.247 0.759 Se
0.000 0.753 0.241 Se
```

## Properties
- Space-group type: P2/m
- Energy relative to the elements, uncorrected: -1470 kJ/mol of formula units

Record 3
A plane-wave DFT calculation with PBE was carried out for La4Tb3Sm after structural relaxation.

Geometry as POSCAR:
```
La4Tb3Sm
1.0
-1.150 3.226 5.428
-7.243 -1.164 -0.843
0.895 -10.022 6.145
La Tb Sm
8 6 2
direct
0.146 0.873 0.000 La
0.656 0.129 0.000 La
0.978 0.126 0.254 La
0.478 0.874 0.246 La
0.156 0.871 0.500 La
0.646 0.127 0.500 La
0.478 0.874 0.754 La
0.978 0.126 0.746 La
0.648 0.620 0.000 Tb
0.979 0.621 0.250 Tb
0.479 0.379 0.250 Tb
0.148 0.380 0.500 Tb
0.479 0.379 0.750 Tb
0.979 0.621 0.750 Tb
0.151 0.376 0.000 Sm
0.651 0.624 0.500 Sm
```

## Properties
- Space-group type: Pmn2_1
- ΔH_f (0 K): 0.27 eV per formula unit
- Distance to the lowest polymorph of the same formula: 0.010 eV per atom

Record 4
A plane-wave DFT calculation with PBE was carried out for LiLa2P4Pt3 after structural relaxation.

Geometry as POSCAR:
```
LiLa2P4Pt3
1.0
-3.325 -1.084 2.550
2.045 -3.647 1.117
4.173 4.606 7.399
Li La P Pt
1 2 4 3
direct
0.500 0.500 0.500 Li
0.500 0.000 0.248 La
0.000 0.500 0.752 La
0.500 0.500 0.000 P
0.000 0.000 0.000 P
0.500 0.000 0.634 P
0.000 0.500 0.366 P
0.000 0.000 0.500 Pt
0.500 0.000 0.888 Pt
0.000 0.500 0.112 Pt
```

## Properties
- Space-group type: P-4m2
- ΔH_f (0 K): -10.90 eV per formula unit

Record 5
A plane-wave DFT calculation with PBE was carried out for Ac2Hg4Rh2Pb after structural relaxation.

Geometry as POSCAR:
```
Ac2Hg4Rh2Pb
1.0
4.165 1.023 0.566
0.479 7.327 -0.248
-2.298 -4.141 7.891
Ac Hg Rh Pb
2 4 2 1
direct
0.396 0.472 0.265 Ac
0.604 0.528 0.735 Ac
0.686 0.849 0.223 Hg
0.878 0.820 0.576 Hg
0.314 0.151 0.777 Hg
0.122 0.180 0.424 Hg
0.812 0.384 0.008 Rh
0.188 0.616 0.992 Rh
0.000 0.000 0.000 Pb
```

## Properties
- Space-group type: C2/m
- ΔH_f (0 K): -3.26 eV per formula unit

Record 6
A plane-wave DFT calculation with PBE was carried out for FeB2Rh2 after structural relaxation.

Geometry as POSCAR:
```
FeB2Rh2
1.0
6.192 0.000 0.000
0.000 6.192 0.000
0.000 0.000 2.711
B Rh Fe
4 4 2
direct
0.356 0.856 0.000 B
0.856 0.644 0.000 B
0.644 0.144 0.000 B
0.144 0.356 0.000 B
0.155 0.655 0.500 Rh
0.655 0.845 0.500 Rh
0.845 0.345 0.500 Rh
0.345 0.155 0.500 Rh
0.000 0.000 0.000 Fe
0.500 0.500 0.000 Fe
```

## Properties
- Space-group type: P4/mbm
- ΔH_f (0 K): -0.60 eV per formula unit

Record 7
A plane-wave DFT calculation with PBE was carried out for NdAl2ZnAg after structural relaxation.

Geometry as POSCAR:
```
NdAl2ZnAg
1.0
-1.463 -4.094 -0.429
0.370 -0.584 4.313
-4.480 4.065 -1.277
Nd Al Zn Ag
1 2 1 1
direct
0.000 0.000 0.000 Nd
0.619 0.619 0.237 Al
0.381 0.381 0.763 Al
0.750 0.250 0.500 Zn
0.250 0.750 0.500 Ag
```

## Properties
- Space-group type: I-4m2
- ΔH_f (0 K): -1.80 eV per formula unit

Record 8
A plane-wave DFT calculation with PBE was carried out for MgIn2HgH after structural relaxation.

Geometry as POSCAR:
```
MgIn2HgH
1.0
4.979 0.000 0.000
0.000 4.979 0.000
0.000 0.000 4.152
H Mg Hg In
1 1 1 2
direct
0.000 0.000 0.000 H
0.000 0.000 0.500 Mg
0.500 0.500 0.500 Hg
0.000 0.500 0.000 In
0.500 0.000 0.000 In
```

## Properties
- Space-group type: P4/mmm
- DFT total energy: -2.0349 eV per atom

Record 9
A plane-wave DFT calculation with PBE was carried out for LiGaC after structural relaxation.

Geometry as POSCAR:
```
LiGaC
1.0
4.101 -2.368 0.000
0.000 4.736 0.000
0.000 0.000 7.037
C Ga Li
2 2 2
direct
0.000 0.000 0.000 C
0.000 0.000 0.500 C
0.000 0.000 0.250 Ga
0.000 0.000 0.750 Ga
0.333 0.667 0.250 Li
0.667 0.333 0.750 Li
```

## Properties
- Space-group type: P6_3/mmc
- ΔH_f (0 K): 3.15 eV per formula unit

Record 10
A plane-wave DFT calculation with PBE was carried out for Li2PRu after structural relaxation.

Geometry as POSCAR:
```
Li2PRu
1.0
4.061 -0.003 0.005
0.018 4.061 -0.005
-2.043 -2.025 2.866
Li P Ru
2 1 1
direct
0.000 0.000 0.000 Li
0.750 0.250 0.500 Li
0.500 0.500 0.000 P
0.250 0.750 0.500 Ru
```

## Properties
- Space-group type: I-4m2
- ΔH_f (0 K): -1.52 eV per formula unit

Record 11
A plane-wave DFT calculation with PBE was carried out for AsOsRu2O after structural relaxation.

Geometry as POSCAR:
```
AsOsRu2O
1.0
4.576 0.000 0.000
0.000 4.559 0.000
0.000 0.000 4.576
Ru As Os O
2 1 1 1
direct
0.000 0.000 0.500 Ru
0.500 0.000 0.000 Ru
0.000 0.000 0.000 As
0.000 0.500 0.000 Os
0.500 0.500 0.500 O
```

## Properties
- Space-group type: P4/mmm
- Energy relative to the elements, uncorrected: 900 kJ/mol of formula units